(1)
This record from the Alexandria database describes a relaxed structure of POs2Cl. The functional is GGA-PBE.

Lattice parameters (Å, degrees): 6.493 6.493 6.493 131.90 131.90 70.38
Atoms (fractional coordinates):
P1 0.000 0.000 0.000
P2 0.750 0.250 0.500
Os1 0.101 0.625 0.976
Os2 0.375 0.351 0.476
Os3 0.649 0.125 0.024
Os4 0.875 0.899 0.524
Cl1 0.250 0.750 0.500
Cl2 0.500 0.500 0.000

- crystal system = tetragonal
- space-group type = I-42d, No. 122
- formation energy from raw total energies (eV/atom) = 0.775



(2)
This record from the Alexandria database describes a relaxed structure of MgZrB12. The functional is GGA-PBE.

Lattice parameters (Å, degrees): 4.065 4.065 8.218 90.00 90.00 90.00
Atoms (fractional coordinates):
Mg1 0.000 0.000 0.000
Zr1 0.000 0.000 0.500
B1 0.199 0.500 0.252
B2 0.199 0.500 0.748
B3 0.500 0.199 0.252
B4 0.500 0.199 0.748
B5 0.500 0.500 0.101
B6 0.500 0.500 0.402
B7 0.500 0.500 0.598
B8 0.500 0.500 0.899
B9 0.500 0.801 0.252
B10 0.500 0.801 0.748
B11 0.801 0.500 0.252
B12 0.801 0.500 0.748

- crystal system = tetragonal
- DFT formation energy (eV per atom) = -0.024
- space-group type = P4/mmm, No. 123



(3)
This record from the Alexandria database describes a relaxed structure of RbOsPd2Cl. The functional is GGA-PBE.

Lattice parameters (Å, degrees): 4.708 4.708 5.673 90.00 90.00 90.00
Atoms (fractional coordinates):
Rb1 0.000 0.000 0.000
Os1 0.500 0.500 0.000
Pd1 0.000 0.500 0.500
Pd2 0.500 0.000 0.500
Cl1 0.000 0.000 0.500

- crystal system = tetragonal
- space-group type = P4/mmm, No. 123
- formation energy from raw total energies (eV/atom) = 1.304



(4)
This record from the Alexandria database describes a relaxed structure of Np2CdBi4. The functional is GGA-PBE.

Lattice parameters (Å, degrees): 4.545 4.545 10.334 90.00 90.00 90.00
Atoms (fractional coordinates):
Np1 0.000 0.500 0.245
Np2 0.500 0.000 0.755
Cd1 0.000 0.000 0.500
Bi1 0.000 0.000 0.000
Bi2 0.000 0.500 0.689
Bi3 0.500 0.000 0.311
Bi4 0.500 0.500 0.000

- crystal system = tetragonal
- DFT formation energy (eV per atom) = 0.042
- space-group type = P-4m2, No. 115